An optimized crystal structure of CdOs2I2, computed with PBE.

a = 8.207 Å, b = 8.207 Å, c = 3.163 Å
α = 90.00°, β = 90.00°, γ = 90.00°
Fractional positions:
I1 0.360 0.860 0.000
I2 0.860 0.640 0.000
I3 0.640 0.140 0.000
I4 0.140 0.360 0.000
Os1 0.178 0.678 0.500
Os2 0.678 0.822 0.500
Os3 0.822 0.322 0.500
Os4 0.322 0.178 0.500
Cd1 0.000 0.000 0.000
Cd2 0.500 0.500 0.000

## Properties
relative energy among the computed polymorphs = 537 meV per atom
size of the total moment = 0.000 μB per atom
calculated total energy = -3.7004 eV per atom
E_form (uncorrected) = 153.9 kJ/mol of atoms
volume = 21.30 Å³ per atom

---

An optimized crystal structure of CdOs2I, computed with PBE.

a = 7.489 Å, b = 7.489 Å, c = 6.022 Å
α = 51.55°, β = 51.55°, γ = 90.00°
Fractional positions:
I1 0.000 0.000 0.000
I2 0.750 0.250 0.500
Os1 0.669 0.125 0.250
Os2 0.081 0.625 0.250
Os3 0.375 0.331 0.750
Os4 0.875 0.919 0.750
Cd1 0.500 0.500 0.000
Cd2 0.250 0.750 0.500

## Properties
relative energy among the computed polymorphs = 290 meV per atom
size of the total moment = 0.000 μB per atom
calculated total energy = -4.5459 eV per atom
E_form (uncorrected) = 162.6 kJ/mol of atoms
volume = 20.10 Å³ per atom